# 1
The following is a DFT calculation (PBE) of crystalline Ga12Ag3Hg5 at its relaxed geometry.

a b c (Å): 15.775 15.775 15.775
angles (deg): 90.00 90.00 90.00
Space group Ia-3d (No. 230)
One atom of each set of equivalent atoms:
Ga: 0.005 0.080 0.656 x96
Ag: 0.000 0.250 0.125 x24
Hg: 0.000 0.000 0.000 x16
Hg: 0.000 0.250 0.375 x24

## Properties
Calculated formation energy   0.15 eV per atom


# 2
The following is a DFT calculation (PBE) of crystalline GaAg3Hg at its relaxed geometry.

a b c (Å): 18.497 2.986 7.187
angles (deg): 90.00 107.57 90.00
Space group C2/m (No. 12)
One atom of each set of equivalent atoms:
Ga: 0.109 0.000 0.024 x4
Ag: 0.010 0.500 0.218 x4
Ag: 0.082 0.000 0.582 x4
Ag: 0.174 0.500 0.375 x4
Hg: 0.220 0.500 0.801 x4

## Properties
E above lowest polymorph   0.000 eV per atom
Calculated formation energy   0.05 eV per atom


Volume list, top to bottom, in Å³/atom: 24.5 18.9